No. 1
FePdIN2, relaxed, DFT GGA-PBE; volume = 82.6 Å³/cell; formation energy from raw total energies = 455 kJ/mol of formula units; D(E_F) = 4.04 states/eV/cell; symmetry = No. 123; size of the total moment = 0.00 μB per formula unit
1.0
3.6582 0.0000 0.0000
0.0000 3.6582 0.0000
0.0000 0.0000 6.1735
I Fe Pd N
1 1 1 2
direct
0.0000 0.0000 0.5000 I
0.0000 0.0000 0.0000 Fe
0.5000 0.5000 0.5000 Pd
0.0000 0.5000 0.0000 N
0.5000 0.0000 0.0000 N

No. 2
FePdIN2, relaxed, DFT GGA-PBE; volume = 111.1 Å³/cell; formation energy from raw total energies = 795 kJ/mol of formula units; D(E_F) = 8.49 states/eV/cell; symmetry = No. 123; size of the total moment = 3.32 μB per formula unit
1.0
-1.5351 2.6770 -2.2659
0.2028 -2.4016 -2.9747
-6.9346 -2.6001 1.6263
I Fe Pd N
1 1 1 2
direct
0.0000 0.0000 0.5000 I
0.5000 0.5000 0.5000 Fe
0.0000 0.0000 0.0000 Pd
0.0000 0.5000 0.0000 N
0.5000 0.0000 0.0000 N

No. 3
RbFeIN2, relaxed, DFT GGA-PBE; volume = 204.1 Å³/cell; formation energy from raw total energies = 1135 kJ/mol of formula units; D(E_F) = 8.48 states/eV/cell; symmetry = No. 123; size of the total moment = 9.15 μB per formula unit
1.0
-5.1009 -0.7512 0.9771
-0.9070 -0.5290 -5.1416
1.1789 -7.2985 0.5429
I Fe Rb N
1 1 1 2
direct
0.0000 0.0000 0.5000 I
0.5000 0.5000 0.5000 Fe
0.0000 0.0000 0.0000 Rb
0.0000 0.5000 0.0000 N
0.5000 0.0000 0.0000 N

No. 4
Rb2FeI6N, relaxed, DFT GGA-PBE; volume = 363.0 Å³/cell; formation energy from raw total energies = -160 kJ/mol of formula units; D(E_F) = 2.26 states/eV/cell; symmetry = No. 139; size of the total moment = 3.00 μB per formula unit
1.0
-0.0794 4.2417 -6.4925
-5.2965 -4.7724 -3.0531
-7.0954 3.1600 -2.4811
I Fe Rb N
6 1 2 1
direct
0.2189 0.2189 0.5622 I
0.7811 0.7811 0.4378 I
0.2654 0.2654 0.0000 I
0.7346 0.7346 0.0000 I
0.7346 0.2654 0.0000 I
0.2654 0.7346 0.0000 I
0.0000 0.0000 0.0000 Fe
0.7500 0.2500 0.5000 Rb
0.2500 0.7500 0.5000 Rb
0.5000 0.5000 0.0000 N

No. 5
RbFeI2N, relaxed, DFT GGA-PBE; volume = 133.6 Å³/cell; formation energy from raw total energies = -37 kJ/mol of formula units; D(E_F) = 6.82 states/eV/cell; symmetry = No. 123; size of the total moment = 2.02 μB per formula unit
1.0
-3.8626 -4.3280 -1.8612
2.5624 0.0897 -5.5264
2.3360 -2.5330 1.0420
I Fe Rb N
2 1 1 1
direct
0.0000 0.5000 0.0000 I
0.5000 0.0000 0.0000 I
0.0000 0.0000 0.0000 Fe
0.5000 0.5000 0.5000 Rb
0.0000 0.0000 0.5000 N

No. 6
RbFeIN2, relaxed, DFT GGA-PBE; volume = 94.1 Å³/cell; formation energy from raw total energies = 529 kJ/mol of formula units; D(E_F) = 4.90 states/eV/cell; symmetry = No. 123; size of the total moment = 0.19 μB per formula unit
1.0
-4.0360 -0.7106 0.5375
0.5319 -3.9218 -1.1913
0.9523 -1.4577 5.2241
I Fe Rb N
1 1 1 2
direct
0.0000 0.0000 0.5000 I
0.0000 0.0000 0.0000 Fe
0.5000 0.5000 0.5000 Rb
0.0000 0.5000 0.0000 N
0.5000 0.0000 0.0000 N

No. 7
FeReI2N, relaxed, DFT GGA-PBE; volume = 116.8 Å³/cell; formation energy from raw total energies = 421 kJ/mol of formula units; D(E_F) = 6.40 states/eV/cell; symmetry = No. 123; size of the total moment = 3.39 μB per formula unit
1.0
5.5717 0.0000 0.0000
0.0000 5.5717 0.0000
0.0000 0.0000 3.7610
I Re Fe N
2 1 1 1
direct
0.0000 0.5000 0.0000 I
0.5000 0.0000 0.0000 I
0.0000 0.0000 0.0000 Re
0.5000 0.5000 0.5000 Fe
0.0000 0.0000 0.5000 N

No. 8
FeReI2N, relaxed, DFT GGA-PBE; volume = 91.9 Å³/cell; formation energy from raw total energies = 607 kJ/mol of formula units; D(E_F) = 6.05 states/eV/cell; symmetry = No. 123; size of the total moment = 1.04 μB per formula unit
1.0
-0.7734 -4.2677 2.8826
-2.0975 -2.4012 -4.1177
3.0616 -1.1537 -0.8867
I Re Fe N
2 1 1 1
direct
0.0000 0.5000 0.0000 I
0.5000 0.0000 0.0000 I
0.5000 0.5000 0.5000 Re
0.0000 0.0000 0.0000 Fe
0.0000 0.0000 0.5000 N

No. 9
FeRhIN2, relaxed, DFT GGA-PBE; volume = 81.4 Å³/cell; formation energy from raw total energies = 535 kJ/mol of formula units; D(E_F) = 5.84 states/eV/cell; symmetry = No. 123; size of the total moment = 0.00 μB per formula unit
1.0
3.6176 0.0000 0.0000
0.0000 3.6176 0.0000
0.0000 0.0000 6.2192
I Rh Fe N
1 1 1 2
direct
0.0000 0.0000 0.5000 I
0.5000 0.5000 0.5000 Rh
0.0000 0.0000 0.0000 Fe
0.0000 0.5000 0.0000 N
0.5000 0.0000 0.0000 N

No. 10
FeRhIN2, relaxed, DFT GGA-PBE; volume = 109.1 Å³/cell; formation energy from raw total energies = 624 kJ/mol of formula units; D(E_F) = 6.45 states/eV/cell; symmetry = No. 123; size of the total moment = 3.72 μB per formula unit
1.0
3.7743 0.0000 0.0000
0.0000 3.7743 0.0000
0.0000 0.0000 7.6587
I Rh Fe N
1 1 1 2
direct
0.0000 0.0000 0.5000 I
0.0000 0.0000 0.0000 Rh
0.5000 0.5000 0.5000 Fe
0.0000 0.5000 0.0000 N
0.5000 0.0000 0.0000 N

No. 11
FeRuIN2, relaxed, DFT GGA-PBE; volume = 80.5 Å³/cell; formation energy from raw total energies = 660 kJ/mol of formula units; D(E_F) = 3.97 states/eV/cell; symmetry = No. 123; size of the total moment = 0.91 μB per formula unit
1.0
-0.6227 -0.9685 -3.4400
-1.9067 -2.8633 1.1513
-5.0997 3.3841 -0.0297
I Ru Fe N
1 1 1 2
direct
0.0000 0.0000 0.5000 I
0.5000 0.5000 0.5000 Ru
0.0000 0.0000 0.0000 Fe
0.0000 0.5000 0.0000 N
0.5000 0.0000 0.0000 N

No. 12
FeRuIN2, relaxed, DFT GGA-PBE; volume = 87.6 Å³/cell; formation energy from raw total energies = 561 kJ/mol of formula units; D(E_F) = 8.32 states/eV/cell; symmetry = No. 123; size of the total moment = 3.56 μB per formula unit
1.0
3.8137 0.0000 0.0000
0.0000 3.8137 0.0000
0.0000 0.0000 6.0227
I Ru Fe N
1 1 1 2
direct
0.0000 0.0000 0.5000 I
0.0000 0.0000 0.0000 Ru
0.5000 0.5000 0.5000 Fe
0.0000 0.5000 0.0000 N
0.5000 0.0000 0.0000 N

No. 13
FeRuI2N, relaxed, DFT GGA-PBE; volume = 113.9 Å³/cell; formation energy from raw total energies = 374 kJ/mol of formula units; D(E_F) = 4.75 states/eV/cell; symmetry = No. 123; size of the total moment = 3.63 μB per formula unit
1.0
5.5416 0.0000 0.0000
0.0000 5.5416 0.0000
0.0000 0.0000 3.7101
I Ru Fe N
2 1 1 1
direct
0.0000 0.5000 0.0000 I
0.5000 0.0000 0.0000 I
0.0000 0.0000 0.0000 Ru
0.5000 0.5000 0.5000 Fe
0.0000 0.0000 0.5000 N

No. 14
FeRuI2N, relaxed, DFT GGA-PBE; volume = 92.2 Å³/cell; formation energy from raw total energies = 426 kJ/mol of formula units; D(E_F) = 3.26 states/eV/cell; symmetry = No. 123; size of the total moment = 0.00 μB per formula unit
1.0
-1.0842 -4.6285 -2.1241
2.3873 -2.3802 3.9681
-2.9395 -0.0965 1.7106
I Ru Fe N
2 1 1 1
direct
0.0000 0.5000 0.0000 I
0.5000 0.0000 0.0000 I
0.5000 0.5000 0.5000 Ru
0.0000 0.0000 0.0000 Fe
0.0000 0.0000 0.5000 N

No. 15
FeSIN2, relaxed, DFT GGA-PBE; volume = 87.6 Å³/cell; formation energy from raw total energies = 953 kJ/mol of formula units; D(E_F) = 6.93 states/eV/cell; symmetry = No. 123; size of the total moment = 3.85 μB per formula unit
1.0
3.8891 0.0000 0.0000
0.0000 3.8891 0.0000
0.0000 0.0000 5.7887
I S Fe N
1 1 1 2
direct
0.0000 0.0000 0.0000 I
0.0000 0.0000 0.5000 S
0.5000 0.5000 0.5000 Fe
0.0000 0.5000 0.0000 N
0.5000 0.0000 0.0000 N

No. 16
FeSIN2, relaxed, DFT GGA-PBE; volume = 93.5 Å³/cell; formation energy from raw total energies = 818 kJ/mol of formula units; D(E_F) = 5.23 states/eV/cell; symmetry = No. 123; size of the total moment = 3.27 μB per formula unit
1.0
-1.5899 -2.9586 -1.3163
3.1931 -1.1885 -1.1854
1.0728 -3.3616 6.2599
I S Fe N
1 1 1 2
direct
0.0000 0.0000 0.5000 I
0.0000 0.0000 0.0000 S
0.5000 0.5000 0.5000 Fe
0.0000 0.5000 0.0000 N
0.5000 0.0000 0.0000 N

No. 17
FeSIN2, relaxed, DFT GGA-PBE; volume = 74.2 Å³/cell; formation energy from raw total energies = 535 kJ/mol of formula units; D(E_F) = 3.37 states/eV/cell; symmetry = No. 123; size of the total moment = 0.00 μB per formula unit
1.0
-2.8237 -2.2581 0.7953
0.8169 0.2471 3.6023
-3.2900 4.2736 0.4530
I S Fe N
1 1 1 2
direct
0.5000 0.5000 0.5000 I
0.0000 0.0000 0.5000 S
0.0000 0.0000 0.0000 Fe
0.0000 0.5000 0.0000 N
0.5000 0.0000 0.0000 N

No. 18
FeSIN2, relaxed, DFT GGA-PBE; volume = 81.5 Å³/cell; formation energy from raw total energies = 544 kJ/mol of formula units; D(E_F) = 4.02 states/eV/cell; symmetry = No. 123; size of the total moment = 0.00 μB per formula unit
1.0
-0.9768 -2.2854 -2.6898
1.3693 -2.8177 1.8968
-5.3998 -0.8295 2.6658
I S Fe N
1 1 1 2
direct
0.0000 0.0000 0.5000 I
0.5000 0.5000 0.5000 S
0.0000 0.0000 0.0000 Fe
0.0000 0.5000 0.0000 N
0.5000 0.0000 0.0000 N

No. 19
FeSbIN2, relaxed, DFT GGA-PBE; volume = 83.0 Å³/cell; formation energy from raw total energies = 691 kJ/mol of formula units; D(E_F) = 5.55 states/eV/cell; symmetry = No. 123; size of the total moment = 1.09 μB per formula unit
1.0
4.0069 0.0000 0.0000
0.0000 4.0069 0.0000
0.0000 0.0000 5.1720
I Sb Fe N
1 1 1 2
direct
0.0000 0.0000 0.5000 I
0.5000 0.5000 0.5000 Sb
0.0000 0.0000 0.0000 Fe
0.0000 0.5000 0.0000 N
0.5000 0.0000 0.0000 N

No. 20
FeSbI2N, relaxed, DFT GGA-PBE; volume = 150.8 Å³/cell; formation energy from raw total energies = 530 kJ/mol of formula units; D(E_F) = 6.58 states/eV/cell; symmetry = No. 123; size of the total moment = 3.58 μB per formula unit
1.0
-2.5188 3.0661 -4.7194
-3.0853 -5.0766 -1.6515
-3.0287 1.0854 2.3216
I Sb Fe N
2 1 1 1
direct
0.0000 0.5000 0.0000 I
0.5000 0.0000 0.0000 I
0.0000 0.0000 0.0000 Sb
0.5000 0.5000 0.5000 Fe
0.0000 0.0000 0.5000 N